w) Cs4NaI5 after structural relaxation, computed with GGA-PBE.

Calculated values
* Fermi-level density of states: 0.0000 states/eV per atom
* mass density: 3.5 g cm⁻³
* space-group type: No. 139

CIF file:
```
data_Cs4NaI5
_cell_length_a 5.458
_cell_length_b 5.458
_cell_length_c 19.273
_cell_angle_alpha 98.14
_cell_angle_beta 98.14
_cell_angle_gamma 90.00
_space_group_name_H-M_alt 'P 1'
_space_group_IT_number 1
loop_
_space_group_symop_operation_xyz
'x,y,z'
loop_
_atom_site_label
_atom_site_type_symbol
_atom_site_fract_x
_atom_site_fract_y
_atom_site_fract_z
I1 I 0.300 0.300 0.600
I2 I 0.088 0.088 0.175
I3 I 0.912 0.912 0.825
I4 I 0.500 0.500 0.000
I5 I 0.700 0.700 0.400
Cs1 Cs 0.804 0.804 0.608
Cs2 Cs 0.597 0.597 0.193
Cs3 Cs 0.196 0.196 0.392
Cs4 Cs 0.403 0.403 0.807
Na1 Na 0.000 0.000 0.000
```

***

x) Cs4NaI5 after structural relaxation, computed with GGA-PBE.

Calculated values
* Fermi-level density of states: 0.0000 states/eV per atom
* mass density: 3.5 g cm⁻³
* space-group type: No. 79

CIF file:
```
data_Cs4NaI5
_cell_length_a 7.807
_cell_length_b 9.305
_cell_length_c 9.305
_cell_angle_alpha 79.86
_cell_angle_beta 65.19
_cell_angle_gamma 65.19
_space_group_name_H-M_alt 'P 1'
_space_group_IT_number 1
loop_
_space_group_symop_operation_xyz
'x,y,z'
loop_
_atom_site_label
_atom_site_type_symbol
_atom_site_fract_x
_atom_site_fract_y
_atom_site_fract_z
I1 I 0.910 0.361 0.820
I2 I 0.730 0.180 0.361
I3 I 0.091 0.639 0.180
I4 I 0.271 0.820 0.639
I5 I 0.452 0.000 0.000
Cs1 Cs 0.202 0.207 0.392
Cs2 Cs 0.802 0.793 0.608
Cs3 Cs 0.410 0.392 0.793
Cs4 Cs 0.594 0.608 0.207
Na1 Na 0.049 0.000 0.000
```

***

What should be chosen as the most stable of them? Choose x).